[1]
NdUPa2As4: relaxed, PBE.

symmetry = P2/m
V = 199.8 Å³ per cell
Fermi-level density of states = 12.82 states/eV/f.u.
magnetic moment = 3.1 μB/f.u.
calculated formation energy = -1.074 eV per atom
crystal system = monoclinic

abc: 7.144 4.121 7.192
angles: 90.00 109.30 90.00
Fractional positions:
Nd 0.000 0.000 0.000
U 0.000 0.500 0.500
Pa 0.500 0.000 0.500
Pa 0.500 0.500 0.000
As 0.254 0.000 0.747
As 0.258 0.500 0.258
As 0.742 0.500 0.742
As 0.746 0.000 0.253


[2]
NdY2PaAs4: relaxed, PBE.

symmetry = P2/m
V = 201.9 Å³ per cell
Fermi-level density of states = 5.59 states/eV/f.u.
magnetic moment = 0.3 μB/f.u.
calculated formation energy = -1.417 eV per atom
crystal system = monoclinic

abc: 7.157 4.156 7.201
angles: 90.00 109.48 90.00
Fractional positions:
Nd 0.000 0.000 0.000
Y 0.500 0.000 0.500
Y 0.500 0.500 0.000
Pa 0.000 0.500 0.500
As 0.250 0.000 0.744
As 0.253 0.500 0.260
As 0.747 0.500 0.740
As 0.750 0.000 0.256


[3]
Nd2YPaAs4: relaxed, PBE.

symmetry = P2/m
V = 207.3 Å³ per cell
Fermi-level density of states = 5.25 states/eV/f.u.
magnetic moment = 0.0 μB/f.u.
calculated formation energy = -1.418 eV per atom
crystal system = monoclinic

abc: 7.220 4.189 7.268
angles: 90.00 109.42 90.00
Fractional positions:
Nd 0.000 0.000 0.000
Nd 0.500 0.500 0.000
Y 0.000 0.500 0.500
Pa 0.500 0.000 0.500
As 0.250 0.000 0.737
As 0.257 0.500 0.263
As 0.743 0.500 0.737
As 0.750 0.000 0.263


[4]
Nd3Zr2PaAs6: relaxed, PBE.

symmetry = C2/m
V = 292.8 Å³ per cell
Fermi-level density of states = 7.57 states/eV/f.u.
magnetic moment = 0.0 μB/f.u.
calculated formation energy = -1.299 eV per atom
crystal system = monoclinic

abc: 7.070 7.070 7.163
angles: 99.49 99.49 120.00
Fractional positions:
Nd 0.000 0.000 0.000
Nd 0.335 0.665 0.000
Nd 0.665 0.335 0.000
Zr 0.167 0.833 0.500
Zr 0.833 0.167 0.500
Pa 0.500 0.500 0.500
As 0.086 0.424 0.270
As 0.238 0.238 0.727
As 0.424 0.086 0.270
As 0.576 0.914 0.730
As 0.762 0.762 0.273
As 0.914 0.576 0.730


[5]
Nd2ZrPaAs4: relaxed, PBE.

symmetry = P2/m
V = 197.9 Å³ per cell
Fermi-level density of states = 5.60 states/eV/f.u.
magnetic moment = 0.0 μB/f.u.
calculated formation energy = -1.291 eV per atom
crystal system = monoclinic

abc: 7.085 4.117 7.186
angles: 90.00 109.24 90.00
Fractional positions:
Nd 0.000 0.000 0.000
Nd 0.500 0.500 0.000
Zr 0.000 0.500 0.500
Pa 0.500 0.000 0.500
As 0.239 0.000 0.728
As 0.250 0.500 0.267
As 0.750 0.500 0.733
As 0.761 0.000 0.272


[6]
Nd6As2PbS3: relaxed, PBE.

symmetry = C2/m
V = 322.0 Å³ per cell
raw formation energy = -1.589 eV per atom
Fermi-level density of states = 4.69 states/eV/f.u.
magnetic moment = 0.0 μB/f.u.
crystal system = monoclinic

abc: 9.454 9.454 8.480
angles: 102.45 102.45 25.82
Fractional positions:
Nd 0.000 0.000 0.232
Nd 0.000 0.000 0.768
Nd 0.327 0.327 0.413
Nd 0.332 0.332 0.917
Nd 0.668 0.668 0.083
Nd 0.673 0.673 0.587
As 0.167 0.167 0.834
As 0.833 0.833 0.166
Pb 0.500 0.500 0.500
S 0.166 0.166 0.332
S 0.500 0.500 0.000
S 0.834 0.834 0.668


Which of these has the highest magnetic moment? NdUPa2As4